ZrAlAsSe2 after structural relaxation, computed with GGA-PBEsol.

Results
energy = -5.18 eV per atom
energy relative to the elements, uncorrected = 16 meV/atom

```
data_ZrAlAsSe2
_chemical_formula_sum 'Zr1 Al1 As1 Se2'
_space_group_name_H-M_alt 'P 4/m m m'
_space_group_IT_number 123
_space_group_name_Hall '-P 4 2'
_cell_length_a 4.749
_cell_length_b 4.749
_cell_length_c 4.759
_cell_angle_alpha 90.00
_cell_angle_beta 90.00
_cell_angle_gamma 90.00
loop_
_atom_site_label
_atom_site_type_symbol
_atom_site_fract_x
_atom_site_fract_y
_atom_site_fract_z
Zr1 Zr 0.000 0.000 0.000
Al1 Al 0.500 0.500 0.500
As1 As 0.500 0.500 0.000
Se1 Se 0.000 0.500 0.500
```